{"formula": "SbH2Pt", "functional": "PBE", "state": "relaxed", "lattice": [[-0.634, -2.693, -3.244], [-0.181, -3.260, 2.742], [-6.033, -2.247, 0.244]], "species": ["Sb", "Sb", "Pt", "H", "Pt", "H", "H", "H"], "fractional_positions": [[0.250, 0.750, 0.500], [0.500, 0.500, 0.000], [0.000, 0.000, 0.000], [0.873, 0.125, 0.250], [0.750, 0.250, 0.500], [0.375, 0.127, 0.750], [0.877, 0.625, 0.250], [0.875, 0.123, 0.750]], "final_energy_ev_per_atom": -4.02, "total_magnetization_mub_per_cell": 0.0, "polymorph_energy_ev_per_atom": 0.000, "space_group": "I-42d"}